1.
Density functional theory data (PBE) for a relaxed structure of MgTlSnPb.

For the calculated formation energy, the calculation gives -46 meV/atom. The energy above the most stable polymorph in this dataset comes out at 0.0 kJ/mol of formula units. Its total energy is -11.858 eV/f.u. The value obtained for the density of states at the Fermi level is 0.463 states/eV per atom.

The space group is P4mm (No. 99) and the conventional cell measures 3.532, 3.532 and 8.899 Å, with angles of 90.00, 90.00 and 90.00 degrees. The distinct sites, in fractional coordinates, are Mg at (0.000, 0.000, 0.000), Tl at (0.000, 0.000, 0.519), Sn at (0.500, 0.500, 0.791) and Pb at (0.500, 0.500, 0.231).



2.
Density functional theory data (PBE) for a relaxed structure of TmMgSnPb.

For the calculated formation energy, the calculation gives -225 meV/atom. The energy above the most stable polymorph in this dataset comes out at 48.3 kJ/mol of formula units. Its total energy is -14.677 eV/f.u. The value obtained for the density of states at the Fermi level is 0.528 states/eV per atom.

The space group is F-43m (No. 216) and the conventional cell measures 7.483, 7.483 and 7.483 Å, with angles of 90.00, 90.00 and 90.00 degrees. The distinct sites, in fractional coordinates, are Tm at (0.000, 0.000, 0.000), Mg at (0.000, 0.000, 0.500), Sn at (0.250, 0.250, 0.250) and Pb at (0.250, 0.250, 0.750).



3.
Density functional theory data (PBE) for a relaxed structure of TmMgSnPb.

For the calculated formation energy, the calculation gives -350 meV/atom. The energy above the most stable polymorph in this dataset comes out at 0.0 kJ/mol of formula units. Its total energy is -15.177 eV/f.u. The value obtained for the density of states at the Fermi level is 0.598 states/eV per atom.

The space group is Pmmm (No. 47) and the conventional cell measures 4.333, 4.771 and 4.911 Å, with angles of 90.00, 90.00 and 90.00 degrees. The distinct sites, in fractional coordinates, are Tm at (0.000, 0.000, 0.000), Mg at (0.000, 0.500, 0.500), Sn at (0.500, 0.500, 0.000) and Pb at (0.500, 0.000, 0.500).



4.
Density functional theory data (PBE) for a relaxed structure of Mg2VSnPb.

For the calculated formation energy, the calculation gives 656 meV/atom. Its total energy is -16.741 eV/f.u. The value obtained for the density of states at the Fermi level is 0.632 states/eV per atom.

The space group is P4/mmm (No. 123) and the conventional cell measures 5.256, 5.256 and 5.241 Å, with angles of 90.00, 90.00 and 90.00 degrees. The distinct sites, in fractional coordinates, are Mg at (0.000, 0.500, 0.000), V at (0.000, 0.000, 0.000), Sn at (0.500, 0.500, 0.500) and Pb at (0.000, 0.000, 0.500).



5.
Density functional theory data (PBE) for a relaxed structure of YMgSnPb.

For the calculated formation energy, the calculation gives -411 meV/atom. The energy above the most stable polymorph in this dataset comes out at 0.0 kJ/mol of formula units. Its total energy is -17.414 eV/f.u. The value obtained for the density of states at the Fermi level is 0.542 states/eV per atom.

The space group is Pmmm (No. 47) and the conventional cell measures 4.431, 4.800 and 4.852 Å, with angles of 90.00, 90.00 and 90.00 degrees. The distinct sites, in fractional coordinates, are Y at (0.000, 0.000, 0.000), Mg at (0.000, 0.500, 0.500), Sn at (0.500, 0.500, 0.000) and Pb at (0.500, 0.000, 0.500).



6.
Density functional theory data (PBE) for a relaxed structure of YMgSnPb.

For the calculated formation energy, the calculation gives -258 meV/atom. The energy above the most stable polymorph in this dataset comes out at 59.1 kJ/mol of formula units. Its total energy is -16.802 eV/f.u. The value obtained for the density of states at the Fermi level is 0.629 states/eV per atom.

The space group is F-43m (No. 216) and the conventional cell measures 7.537, 7.537 and 7.537 Å, with angles of 90.00, 90.00 and 90.00 degrees. The distinct sites, in fractional coordinates, are Y at (0.000, 0.000, 0.000), Mg at (0.000, 0.000, 0.500), Sn at (0.250, 0.250, 0.750) and Pb at (0.250, 0.250, 0.250).